Below is VAuI2O after structural relaxation, with properties calculated at the PBE+U level.

Summary:
- V: 132.7 Å³/f.u.
- M_tot: 0.58 μB/atom
- DOS at the Fermi energy: 6.3 states/eV per cell
- Energy relative to the lowest polymorph listed for this composition: 841 meV/atom

Lattice parameters (Å, degrees): 5.759 5.759 4.001 90.00 90.00 90.00
Sites, in units of the cell vectors:
V: 0.000 0.000 0.000
Au: 0.500 0.500 0.500
I: 0.000 0.500 0.500
I: 0.500 0.000 0.500
O: 0.500 0.500 0.000